Density functional theory data (PBE) for crystalline KBa2Rh at its relaxed geometry.

Calculated values
**ΔE to the lowest computed polymorph**: 69.5 meV/atom
**Total magnetization**: 0.000 μB/f.u.
**Energy of formation**: -0.0426 eV/atom

```
KBa2Rh
1.0
3.933 0.000 0.000
0.000 3.933 0.000
0.000 0.000 11.526
K Ba Rh
1 2 1
Direct
0.000 0.000 0.000
0.500 0.500 0.346
0.500 0.500 0.654
0.000 0.000 0.500
```

Density functional theory data (PBE) for crystalline RuW2Br at its relaxed geometry.

Calculated values
**Uncorrected formation energy**: 59.4 kJ per mole of atoms
**ΔE to the lowest computed polymorph**: 126.0 meV/atom
**Total magnetization**: 0.000 μB/f.u.

```
RuW2Br
1.0
1.462 0.844 8.764
-1.462 0.844 8.764
0.000 -1.689 8.764
Ru W Br
1 2 1
Direct
0.000 0.000 0.000
0.252 0.252 0.252
0.748 0.748 0.748
0.500 0.500 0.500
```

Density functional theory data (PBE) for crystalline Tl2Cd4Hg5 at its relaxed geometry.

Calculated values
**Total magnetization**: 0.000 μB/f.u.
**Energy of formation**: 0.0326 eV/atom

```
Tl2Cd4Hg5
1.0
6.128 -3.258 0.000
6.128 3.258 0.000
-5.819 0.000 7.321
Tl Cd Hg
2 4 5
Direct
0.054 0.054 0.225
0.946 0.946 0.775
0.277 0.277 0.033
0.375 0.375 0.619
0.625 0.625 0.381
0.723 0.723 0.967
0.074 0.610 0.336
0.390 0.926 0.664
0.500 0.500 0.000
0.610 0.074 0.336
0.926 0.390 0.664
```

Density functional theory data (PBE) for crystalline La2SmEr2In5 at its relaxed geometry.

Calculated values
**Total magnetization**: 0.000 μB/f.u.
**Energy of formation**: -0.3718 eV/atom

```
La2SmEr2In5
1.0
11.063 0.000 0.000
0.000 11.063 0.000
0.000 0.000 4.705
La Sm Er In
4 2 4 10
Direct
0.176 0.324 0.000
0.324 0.824 0.000
0.676 0.176 0.000
0.824 0.676 0.000
0.000 0.000 0.000
0.500 0.500 0.000
0.123 0.623 0.000
0.377 0.123 0.000
0.623 0.877 0.000
0.877 0.377 0.000
0.000 0.500 0.500
0.063 0.803 0.500
0.197 0.063 0.500
0.303 0.563 0.500
0.437 0.303 0.500
0.500 0.000 0.500
0.563 0.697 0.500
0.697 0.437 0.500
0.803 0.937 0.500
0.937 0.197 0.500
```

Density functional theory data (PBE) for crystalline NdTmTe2Cl at its relaxed geometry.

Calculated values
**Uncorrected formation energy**: -150.7 kJ per mole of atoms
**Total magnetization**: 0.000 μB/f.u.

```
NdTmTe2Cl
1.0
4.326 0.000 0.000
0.000 4.326 0.000
0.000 0.000 14.988
Nd Tm Te Cl
2 2 4 2
Direct
0.250 0.250 0.135
0.750 0.750 0.865
0.250 0.250 0.583
0.750 0.750 0.417
0.250 0.250 0.379
0.250 0.250 0.791
0.750 0.750 0.209
0.750 0.750 0.621
0.250 0.750 0.000
0.750 0.250 0.000
```

Density functional theory data (PBE) for crystalline Ca2La7Sm2 at its relaxed geometry.

Calculated values
**Total magnetization**: 0.000 μB/f.u.
**Energy of formation**: 0.2006 eV/atom

```
Ca2La7Sm2
1.0
-2.769 5.697 6.713
2.769 -5.697 6.713
2.769 5.697 -6.713
Ca La Sm
2 7 2
Direct
0.176 0.176 0.000
0.824 0.824 0.000
0.000 0.500 0.500
0.101 0.345 0.756
0.367 0.867 0.500
0.411 0.655 0.756
0.589 0.345 0.244
0.633 0.133 0.500
0.899 0.655 0.244
0.222 0.000 0.222
0.778 0.000 0.778
```

Values for electronic total energy, eV/atom, ordered as above
-3.1162; -8.5976; -0.8676; -4.1110; -5.0360; -4.1570